The following is a DFT calculation (PBE) of a geometry-optimized MgAg2 structure.

Calculated values
Energy above the most stable polymorph in this dataset in meV/atom: 0
Formation enthalpy at 0 K in eV/atom: -0.177
Calculated density in g/cm3: 7.3
Crystal system: orthorhombic

Cell lengths 7.4238, 7.4238, 4.7169 Å; angles 90.00, 90.00, 155.16 degrees
Fractional positions:
Ag  0.2677  0.7323  0.2500
Ag  0.0641  0.9359  0.7500
Ag  0.7323  0.2677  0.7500
Ag  0.9359  0.0641  0.2500
Mg  0.6010  0.3990  0.2500
Mg  0.3990  0.6010  0.7500